<1>
The following is a DFT calculation (PBE) of In3CoAs after structural relaxation.

Summary:
M_tot ... 0.398 μB/atom
Symmetry ... Pm-3m, No. 221

Cell: 5.363 5.363 5.363 Å, 90.00 90.00 90.00°
Positions (direct):
In  0.000  0.000  0.500
In  0.000  0.500  0.000
In  0.500  0.000  0.000
Co  0.500  0.500  0.500
As  0.000  0.000  0.000

=====

<2>
The following is a DFT calculation (PBE) of In3CoAs after structural relaxation.

Summary:
M_tot ... 0.000 μB/atom
Symmetry ... Pm-3m, No. 221

Cell: 4.926 4.926 4.926 Å, 90.00 90.00 90.00°
Positions (direct):
In  0.000  0.000  0.500
In  0.000  0.500  0.000
In  0.500  0.000  0.000
Co  0.000  0.000  0.000
As  0.500  0.500  0.500

=====

Name the least stable of them. <1>.